Record 1
DFT (GGA-PBE) results for a relaxed structure of Mn2Sn5Pd12.

Cell lengths 14.058, 5.578, 9.012 Å; angles 90.00, 98.16, 90.00 degrees
Space group C2/m (No. 12)
Asymmetric unit:
Mn1 0.000 0.173 0.000 (multiplicity 4)
Sn1 0.000 0.500 0.500 (multiplicity 2)
Sn2 0.176 0.000 0.909 (multiplicity 4)
Sn3 0.199 0.000 0.417 (multiplicity 4)
Pd1 0.016 0.000 0.287 (multiplicity 4)
Pd2 0.018 0.500 0.809 (multiplicity 4)
Pd3 0.148 0.250 0.647 (multiplicity 8)
Pd4 0.163 0.258 0.158 (multiplicity 8)

Properties
As for the energy of formation from the pure elements: -0.191 eV/atom. As for the total magnetization: 2.54 μB per formula unit. The crystal system is monoclinic. The electronic total energy is -5.489 eV/atom.

---

Record 2
DFT (GGA-PBE) results for a relaxed structure of Mn6SnPd12.

Cell lengths 10.0795, 10.0795, 9.6395 Å; angles 90.00, 90.00, 120.00 degrees
Space group R-3 (No. 148, hexagonal axes)
Asymmetric unit:
Mn1 0.0165 0.8026 0.0077 (multiplicity 18)
Sn1 0.0000 0.0000 0.5000 (multiplicity 3)
Pd1 0.0294 0.5549 0.1319 (multiplicity 18)
Pd2 0.0793 0.1906 0.7524 (multiplicity 18)

Properties
As for the energy of formation from the pure elements: 0.120 eV/atom. As for the total magnetization: 0.00 μB per formula unit. The crystal system is trigonal. The electronic total energy is -6.266 eV/atom.

---

Record 3
DFT (GGA-PBE) results for a relaxed structure of Mn2Sn3Pd8.

Cell lengths 5.3185, 5.3185, 28.9387 Å; angles 90.00, 90.00, 120.00 degrees
Space group R-3m (No. 166, hexagonal axes)
Asymmetric unit:
Mn1 0.0000 0.0000 0.1336 (multiplicity 6)
Sn1 0.0000 0.0000 0.3110 (multiplicity 6)
Sn2 0.0000 0.0000 0.5000 (multiplicity 3)
Pd1 0.0000 0.0000 0.2194 (multiplicity 6)
Pd2 0.0014 0.5007 0.2729 (multiplicity 18)

Properties
As for the energy of formation from the pure elements: -0.113 eV/atom. As for the total magnetization: 8.72 μB per formula unit. The crystal system is trigonal. The electronic total energy is -5.643 eV/atom.

---

Record 4
DFT (GGA-PBE) results for a relaxed structure of Mn2SnPd8.

Cell lengths 4.249, 6.900, 12.093 Å; angles 90.00, 90.00, 90.00 degrees
Space group Immm (No. 71)
Asymmetric unit:
Mn1 0.000 0.000 0.194 (multiplicity 4)
Sn1 0.000 0.000 0.500 (multiplicity 2)
Pd1 0.000 0.196 0.000 (multiplicity 4)
Pd2 0.000 0.283 0.344 (multiplicity 8)
Pd3 0.000 0.500 0.153 (multiplicity 4)

Properties
As for the energy of formation from the pure elements: -0.242 eV/atom. As for the total magnetization: 9.06 μB per formula unit. The crystal system is orthorhombic. The electronic total energy is -6.050 eV/atom.

---

Looking at DOS at the Fermi energy for the records above, in order, we have 21.0, 46.2, 16.8, 9.3 states/eV per cell.